1.
The following is a GGA-PBE calculation of crystalline Co3Cu at its relaxed geometry, from Alexandria.

Properties
ΔH_f (0 K) (eV/atom): 0.17

Cell lengths 5.6520, 5.6520, 5.6520 Å; angles 90.00, 90.00, 90.00 degrees
Space group Fm-3m (No. 225)
Unique sites:
Co 0.0000 0.0000 0.0000
Co 0.2500 0.2500 0.2500
Cu 0.0000 0.0000 0.5000



2.
The following is a GGA-PBE calculation of crystalline Ba6Se5Cl at its relaxed geometry, from Alexandria.

Cell lengths 8.1328, 14.0864, 8.1320 Å; angles 90.00, 109.46, 90.00 degrees
Space group C2/m (No. 12)
Unique sites:
Ba 0.2442 0.0000 0.2542
Ba 0.2448 0.1703 0.7458
Se 0.0000 0.0000 0.5000
Se 0.0000 0.1669 0.0000
Se 0.0000 0.3350 0.5000
Cl 0.0000 0.5000 0.0000



3.
The following is a GGA-PBE calculation of crystalline BaCr3 at its relaxed geometry, from Alexandria.

Properties
Energy above the most stable polymorph in this dataset (meV/atom): 428
ΔH_f (0 K) (eV/atom): 1.17

Cell lengths 4.7456, 4.7456, 4.2129 Å; angles 90.00, 90.00, 90.00 degrees
Space group P4/mmm (No. 123)
Unique sites:
Ba 0.0000 0.0000 0.0000
Cr 0.0000 0.5000 0.5000
Cr 0.5000 0.5000 0.0000



4.
The following is a GGA-PBE calculation of crystalline AgHg2Au at its relaxed geometry, from Alexandria.

Properties
ΔH_f (0 K) (eV/atom): 0.09

Cell lengths 3.1754, 4.9435, 5.3713 Å; angles 90.00, 92.77, 90.00 degrees
Space group P2/m (No. 10)
Unique sites:
Ag 0.0000 0.0000 0.0000
Hg 0.2687 0.5000 0.2476
Au 0.5000 0.0000 0.5000



5.
The following is a GGA-PBE calculation of crystalline Ti2GeBiO8 at its relaxed geometry, from Alexandria.

Cell lengths 6.7377, 6.6033, 6.2888 Å; angles 90.00, 90.04, 90.00 degrees
Space group C2/m (No. 12)
Unique sites:
Ti 0.0152 0.0000 0.2331
Ge 0.0000 0.5000 0.0000
Bi 0.0000 0.5000 0.5000
O 0.0000 0.2997 0.2151
O 0.1725 0.0000 0.4942
O 0.1968 0.0000 0.0031



6.
The following is a GGA-PBE calculation of crystalline Li2IrRu at its relaxed geometry, from Alexandria.

Properties
Energy above the most stable polymorph in this dataset (meV/atom): 401
ΔH_f (0 K) (eV/atom): 0.35

Cell lengths 5.8037, 5.8037, 5.8037 Å; angles 90.00, 90.00, 90.00 degrees
Space group Fm-3m (No. 225)
Unique sites:
Li 0.2500 0.2500 0.2500
Ir 0.0000 0.0000 0.0000
Ru 0.0000 0.0000 0.5000



7.
The following is a GGA-PBE calculation of crystalline MnIn2W at its relaxed geometry, from Alexandria.

Properties
Energy above the most stable polymorph in this dataset (meV/atom): 153
ΔH_f (0 K) (eV/atom): 0.48

Cell lengths 5.9204, 8.4157, 2.9115 Å; angles 90.00, 90.00, 90.00 degrees
Space group Cmmm (No. 65)
Unique sites:
Mn 0.0000 0.0000 0.0000
In 0.2500 0.2500 0.5000
W 0.0000 0.5000 0.0000



8.
The following is a GGA-PBE calculation of crystalline Sm3Si2Pd3 at its relaxed geometry, from Alexandria.

Cell lengths 7.7157, 15.2577, 5.7071 Å; angles 90.00, 90.00, 90.00 degrees
Space group Pnma (No. 62)
Unique sites:
Sm 0.0286 0.1091 0.1361
Sm 0.1643 0.2500 0.6293
Si 0.1236 0.6035 0.3591
Pd 0.1690 0.0344 0.5991
Pd 0.1861 0.7500 0.6072



no.,raw total energy (Ha/atom)
1,-0.2272
2,-0.1691
3,-0.2398
4,-0.0586
5,-0.2725
6,-0.1888
7,-0.2361
8,-0.2194